(1)
# Mn2InCl

A geometry-optimized Mn2InCl structure (PBE-GGA, Alexandria via LeMat-Bulk).

Cell lengths 3.071, 4.599, 11.285 Å; angles 90.00, 90.00, 90.00 degrees
Fractional positions:
Mn 0.000 0.000 0.000
Mn 0.000 0.500 0.298
Mn 0.500 0.000 0.798
Mn 0.500 0.500 0.500
In 0.000 0.000 0.463
In 0.500 0.500 0.963
Cl 0.000 0.500 0.690
Cl 0.500 0.000 0.190

## Properties
E above lowest polymorph   139.2 meV/atom

=====

(2)
# NaSnP2O

A geometry-optimized NaSnP2O structure (PBE-GGA, Alexandria via LeMat-Bulk).

Cell lengths 4.980, 4.980, 4.064 Å; angles 90.00, 90.00, 90.00 degrees
Fractional positions:
Na 0.000 0.000 0.000
Sn 0.500 0.500 0.500
P 0.000 0.500 0.000
P 0.500 0.000 0.000
O 0.000 0.000 0.500

## Properties
E above lowest polymorph   639.8 meV/atom

=====

(3)
# BaSmMgAl

A geometry-optimized BaSmMgAl structure (PBE-GGA, Alexandria via LeMat-Bulk).

Cell lengths 7.942, 7.942, 7.942 Å; angles 90.00, 90.00, 90.00 degrees
Fractional positions:
Ba 0.000 0.000 0.000
Ba 0.000 0.500 0.500
Ba 0.500 0.000 0.500
Ba 0.500 0.500 0.000
Sm 0.000 0.000 0.500
Sm 0.000 0.500 0.000
Sm 0.500 0.000 0.000
Sm 0.500 0.500 0.500
Mg 0.250 0.250 0.750
Mg 0.250 0.750 0.250
Mg 0.750 0.250 0.250
Mg 0.750 0.750 0.750
Al 0.250 0.250 0.250
Al 0.250 0.750 0.750
Al 0.750 0.250 0.750
Al 0.750 0.750 0.250

## Properties
Calculated formation energy   -0.03 eV/atom

=====

(4)
# Ce2PrSn

A geometry-optimized Ce2PrSn structure (PBE-GGA, Alexandria via LeMat-Bulk).

Cell lengths 4.222, 4.222, 6.932 Å; angles 90.00, 90.00, 90.00 degrees
Fractional positions:
Ce 0.000 0.000 0.199
Ce 0.000 0.000 0.801
Pr 0.500 0.500 0.500
Sn 0.500 0.500 0.000

## Properties
Calculated formation energy   -0.31 eV/atom
E above lowest polymorph   106.1 meV/atom

=====

(5)
# AlCdCo

A geometry-optimized AlCdCo structure (PBE-GGA, Alexandria via LeMat-Bulk).

Cell lengths 4.200, 4.200, 3.018 Å; angles 90.00, 90.00, 120.00 degrees
Fractional positions:
Al 0.000 0.000 0.000
Cd 0.667 0.333 0.500
Co 0.333 0.667 0.000

## Properties
Calculated formation energy   0.08 eV/atom
E above lowest polymorph   149.1 meV/atom

=====

(6)
# GaGeAu4

A geometry-optimized GaGeAu4 structure (PBE-GGA, Alexandria via LeMat-Bulk).

Cell lengths 4.372, 4.372, 6.212 Å; angles 90.00, 90.00, 90.00 degrees
Fractional positions:
Ga 0.000 0.000 0.000
Ge 0.500 0.500 0.500
Au 0.000 0.500 0.247
Au 0.000 0.500 0.753
Au 0.500 0.000 0.247
Au 0.500 0.000 0.753

## Properties
Calculated formation energy   -0.02 eV/atom
E above lowest polymorph   22.2 meV/atom

=====

The following E values (in eV per atom) correspond, in order, to the records above: -5.555 -3.371 -3.028 -5.470 -3.843 -3.481.